VASP calculation (PBE-GGA) on a geometry-optimized NbSn2Au structure.

Cell: 7.616 7.616 6.193 Å, 90.00 90.00 90.00°
Space group I-42d (No. 122)
Symmetry-distinct sites (fractional):
Nb 0.000 0.000 0.000 x4
Sn 0.233 0.250 0.625 x8
Au 0.000 0.000 0.500 x4

Values from the calculation:
ΔE_f (eV per atom): 0.320
Density of states at the Fermi level (states/eV per atom): 0.4381
Crystal system: tetragonal
Total moment (Bohr magnetons per cell): 0.00
E above lowest polymorph (meV/atom): 311



VASP calculation (PBE-GGA) on a geometry-optimized BaGa6S8 structure.

Cell: 10.0690 10.0690 12.2305 Å, 90.00 90.00 120.00°
Space group R-3 (No. 148, hexagonal axes)
Symmetry-distinct sites (fractional):
Ba 0.0000 0.0000 0.0000 x3
Ga 0.0408 0.2429 0.6141 x18
S 0.0000 0.0000 0.3208 x6
S 0.0150 0.3734 0.7707 x18

Values from the calculation:
Formation energy without anion corrections (eV per atom): -0.59
Density of states at the Fermi level (states/eV per atom): 0.3640
Crystal system: trigonal
Total moment (Bohr magnetons per cell): 0.00



VASP calculation (PBE-GGA) on a geometry-optimized Y2HoSi2Pt7 structure.

Cell: 5.736 5.684 13.773 Å, 90.00 98.77 90.00°
Space group C2/m (No. 12)
Symmetry-distinct sites (fractional):
Y 0.117 0.000 0.356 x4
Ho 0.000 0.000 0.000 x2
Si 0.096 0.500 0.257 x4
Pt 0.000 0.500 0.000 x2
Pt 0.134 0.500 0.428 x4
Pt 0.190 0.250 0.839 x8

Values from the calculation:
Formation energy without anion corrections (eV per atom): -1.13
Density of states at the Fermi level (states/eV per atom): 0.4116
Crystal system: monoclinic
Total moment (Bohr magnetons per cell): 0.00